1.
# Na2MgAu

A relaxed structure of Na2MgAu (GGA-PBE, the Alexandria database).

```
data_Na2MgAu
_chemical_formula_sum 'Na8 Mg4 Au4'
_cell_length_a 9.0214
_cell_length_b 9.0214
_cell_length_c 5.4855
_cell_angle_alpha 90.00
_cell_angle_beta 90.00
_cell_angle_gamma 90.00
_symmetry_space_group_name_H-M 'I -4 2 d'
_symmetry_Int_Tables_number 122
_symmetry_space_group_name_Hall 'I -4 2bw'
loop_
_atom_site_label
_atom_site_type_symbol
_atom_site_fract_x
_atom_site_fract_y
_atom_site_fract_z
Na1 Na 0.1808 0.2500 0.1250
Mg1 Mg 0.0000 0.0000 0.5000
Au1 Au 0.0000 0.0000 0.0000
```

total energy = -31.008 eV per cell

=====

2.
# NaMgAu3

A relaxed structure of NaMgAu3 (GGA-PBE, the Alexandria database).

```
data_NaMgAu3
_chemical_formula_sum 'Na1 Mg1 Au3'
_cell_length_a 5.0826
_cell_length_b 5.0826
_cell_length_c 5.0826
_cell_angle_alpha 90.00
_cell_angle_beta 90.00
_cell_angle_gamma 90.00
_symmetry_space_group_name_H-M 'P m -3 m'
_symmetry_Int_Tables_number 221
_symmetry_space_group_name_Hall '-P 4 2 3'
loop_
_atom_site_label
_atom_site_type_symbol
_atom_site_fract_x
_atom_site_fract_y
_atom_site_fract_z
Na1 Na 0.0000 0.0000 0.0000
Mg1 Mg 0.5000 0.5000 0.5000
Au1 Au 0.0000 0.5000 0.5000
```

ΔE to the lowest computed polymorph = 292 meV/atom

=====

3.
# NaMg6Au12

A relaxed structure of NaMg6Au12 (GGA-PBE, the Alexandria database).

```
data_NaMg6Au12
_chemical_formula_sum 'Na3 Mg18 Au36'
_cell_length_a 12.3150
_cell_length_b 12.3150
_cell_length_c 8.7539
_cell_angle_alpha 90.00
_cell_angle_beta 90.00
_cell_angle_gamma 120.00
_symmetry_space_group_name_H-M 'R -3 m'
_symmetry_Int_Tables_number 166
_symmetry_space_group_name_Hall '-R 3 2"'
loop_
_atom_site_label
_atom_site_type_symbol
_atom_site_fract_x
_atom_site_fract_y
_atom_site_fract_z
Na1 Na 0.0000 0.0000 0.0000
Mg1 Mg 0.0570 0.5285 0.2357
Au1 Au 0.0000 0.3842 0.5000
Au2 Au 0.0790 0.1579 0.2837
```

total energy = -170.931 eV per cell

=====

4.
# NaMg2Au2

A relaxed structure of NaMg2Au2 (GGA-PBE, the Alexandria database).

```
data_NaMg2Au2
_chemical_formula_sum 'Na2 Mg4 Au4'
_cell_length_a 8.0010
_cell_length_b 8.0010
_cell_length_c 3.1784
_cell_angle_alpha 90.00
_cell_angle_beta 90.00
_cell_angle_gamma 90.00
_symmetry_space_group_name_H-M 'P 4/m b m'
_symmetry_Int_Tables_number 127
_symmetry_space_group_name_Hall '-P 4 2ab'
loop_
_atom_site_label
_atom_site_type_symbol
_atom_site_fract_x
_atom_site_fract_y
_atom_site_fract_z
Na1 Na 0.0000 0.0000 0.0000
Mg1 Mg 0.1479 0.3521 0.5000
Au1 Au 0.1470 0.6470 0.0000
```

ΔE to the lowest computed polymorph = 0 meV/atom

=====

5.
# NaMg2Au2

A relaxed structure of NaMg2Au2 (GGA-PBE, the Alexandria database).

```
data_NaMg2Au2
_chemical_formula_sum 'Na1 Mg2 Au2'
_cell_length_a 4.7670
_cell_length_b 4.7670
_cell_length_c 5.5777
_cell_angle_alpha 90.00
_cell_angle_beta 90.00
_cell_angle_gamma 120.00
_symmetry_space_group_name_H-M 'P -3 m 1'
_symmetry_Int_Tables_number 164
_symmetry_space_group_name_Hall '-P 3 2"'
loop_
_atom_site_label
_atom_site_type_symbol
_atom_site_fract_x
_atom_site_fract_y
_atom_site_fract_z
Na1 Na 0.0000 0.0000 0.0000
Mg1 Mg 0.3333 0.6667 0.6671
Au1 Au 0.3333 0.6667 0.1824
```

ΔE to the lowest computed polymorph = 82 meV/atom

=====

6.
# NaMg5Au3

A relaxed structure of NaMg5Au3 (GGA-PBE, the Alexandria database).

```
data_NaMg5Au3
_chemical_formula_sum 'Na2 Mg10 Au6'
_cell_length_a 8.2705
_cell_length_b 8.2705
_cell_length_c 5.9475
_cell_angle_alpha 90.00
_cell_angle_beta 90.00
_cell_angle_gamma 120.00
_symmetry_space_group_name_H-M 'P 63/m c m'
_symmetry_Int_Tables_number 193
_symmetry_space_group_name_Hall '-P 6c 2'
loop_
_atom_site_label
_atom_site_type_symbol
_atom_site_fract_x
_atom_site_fract_y
_atom_site_fract_z
Na1 Na 0.0000 0.0000 0.0000
Mg1 Mg 0.0000 0.3264 0.2500
Mg2 Mg 0.3333 0.6667 0.0000
Au1 Au 0.0000 0.3465 0.7500
```

total energy = -46.254 eV per cell

=====

7.
# Na2MgAu

A relaxed structure of Na2MgAu (GGA-PBE, the Alexandria database).

```
data_Na2MgAu
_chemical_formula_sum 'Na2 Mg1 Au1'
_cell_length_a 4.2123
_cell_length_b 4.2123
_cell_length_c 5.1028
_cell_angle_alpha 90.00
_cell_angle_beta 90.00
_cell_angle_gamma 90.00
_symmetry_space_group_name_H-M 'P 4/m m m'
_symmetry_Int_Tables_number 123
_symmetry_space_group_name_Hall '-P 4 2'
loop_
_atom_site_label
_atom_site_type_symbol
_atom_site_fract_x
_atom_site_fract_y
_atom_site_fract_z
Na1 Na 0.0000 0.5000 0.0000
Mg1 Mg 0.0000 0.0000 0.5000
Au1 Au 0.5000 0.5000 0.5000
```

total energy = -8.195 eV per cell

=====

8.
# NaMg5Au6

A relaxed structure of NaMg5Au6 (GGA-PBE, the Alexandria database).

```
data_NaMg5Au6
_chemical_formula_sum 'Na2 Mg10 Au12'
_cell_length_a 4.6920
_cell_length_b 6.7630
_cell_length_c 13.9735
_cell_angle_alpha 90.00
_cell_angle_beta 90.00
_cell_angle_gamma 90.00
_symmetry_space_group_name_H-M 'I m m m'
_symmetry_Int_Tables_number 71
_symmetry_space_group_name_Hall '-I 2 2'
loop_
_atom_site_label
_atom_site_type_symbol
_atom_site_fract_x
_atom_site_fract_y
_atom_site_fract_z
Na1 Na 0.0000 0.0000 0.0000
Mg1 Mg 0.0000 0.0000 0.3309
Mg2 Mg 0.0000 0.5000 0.0000
Mg3 Mg 0.0000 0.5000 0.3396
Au1 Au 0.0000 0.2325 0.5000
Au2 Au 0.0000 0.2604 0.1726
```

total energy = -70.898 eV per cell

=====

9.
# NaNdMgAu

A relaxed structure of NaNdMgAu (GGA-PBE, the Alexandria database).

```
data_NaNdMgAu
_chemical_formula_sum 'Na4 Nd4 Mg4 Au4'
_cell_length_a 7.2462
_cell_length_b 7.2462
_cell_length_c 7.2462
_cell_angle_alpha 90.00
_cell_angle_beta 90.00
_cell_angle_gamma 90.00
_symmetry_space_group_name_H-M 'F -4 3 m'
_symmetry_Int_Tables_number 216
_symmetry_space_group_name_Hall 'F -4 2 3'
loop_
_atom_site_label
_atom_site_type_symbol
_atom_site_fract_x
_atom_site_fract_y
_atom_site_fract_z
Na1 Na 0.0000 0.0000 0.0000
Nd1 Nd 0.2500 0.2500 0.7500
Mg1 Mg 0.2500 0.2500 0.2500
Au1 Au 0.0000 0.0000 0.5000
```

total energy = -48.425 eV per cell

=====

10.
# NaMgAuO2

A relaxed structure of NaMgAuO2 (GGA-PBE, the Alexandria database).

```
data_NaMgAuO2
_chemical_formula_sum 'Na2 Mg2 Au2 O4'
_cell_length_a 5.6552
_cell_length_b 5.2140
_cell_length_c 5.8040
_cell_angle_alpha 90.00
_cell_angle_beta 93.44
_cell_angle_gamma 90.00
_symmetry_space_group_name_H-M 'P 1 2/c 1'
_symmetry_Int_Tables_number 13
loop_
_symmetry_equiv_pos_as_xyz
'x,y,z'
'-x,-y,-z'
'-x,y,-z+1/2'
'x,-y,z+1/2'
loop_
_atom_site_label
_atom_site_type_symbol
_atom_site_fract_x
_atom_site_fract_y
_atom_site_fract_z
Na1 Na 0.0000 0.1770 0.2500
Mg1 Mg 0.5000 0.0176 0.7500
Au1 Au 0.5000 0.5000 0.0000
O1 O 0.2986 0.1615 0.9973
```

formation energy without anion corrections = -1.3983 eV/atom

=====

11.
# NaMg2AuO4

A relaxed structure of NaMg2AuO4 (GGA-PBE, the Alexandria database).

```
data_NaMg2AuO4
_chemical_formula_sum 'Na2 Mg4 Au2 O8'
_cell_length_a 5.5189
_cell_length_b 5.5189
_cell_length_c 6.6043
_cell_angle_alpha 90.00
_cell_angle_beta 90.00
_cell_angle_gamma 90.00
_symmetry_space_group_name_H-M 'I -4 2 m'
_symmetry_Int_Tables_number 121
_symmetry_space_group_name_Hall 'I -4 2'
loop_
_atom_site_label
_atom_site_type_symbol
_atom_site_fract_x
_atom_site_fract_y
_atom_site_fract_z
Na1 Na 0.0000 0.0000 0.0000
Mg1 Mg 0.0000 0.5000 0.2500
Au1 Au 0.0000 0.0000 0.5000
O1 O 0.2457 0.2457 0.3768
```

formation energy without anion corrections = -1.3145 eV/atom

=====

12.
# NaMg2PdAu

A relaxed structure of NaMg2PdAu (GGA-PBE, the Alexandria database).

```
data_NaMg2PdAu
_chemical_formula_sum 'Na1 Mg2 Pd1 Au1'
_cell_length_a 4.9506
_cell_length_b 4.9506
_cell_length_c 5.1788
_cell_angle_alpha 90.00
_cell_angle_beta 90.00
_cell_angle_gamma 90.00
_symmetry_space_group_name_H-M 'P 4/m m m'
_symmetry_Int_Tables_number 123
_symmetry_space_group_name_Hall '-P 4 2'
loop_
_atom_site_label
_atom_site_type_symbol
_atom_site_fract_x
_atom_site_fract_y
_atom_site_fract_z
Na1 Na 0.0000 0.0000 0.0000
Mg1 Mg 0.0000 0.5000 0.5000
Pd1 Pd 0.0000 0.0000 0.5000
Au1 Au 0.5000 0.5000 0.0000
```

total energy = -12.956 eV per cell